# 1
! Be2ZnCl PBE optimized geometry; values from VASP
! Formation energy from raw total energies (eV/atom): 0.46
! Polymorph energy (0 for the lowest one) (meV/atom): 410
! Calculated total energy (eV per atom): -2.1859
! Calculated volume (Å³/cell): 133.8
! M_tot (μB per cell): 0.000
&SYSTEM
  ibrav = 0, nat = 8, ntyp = 3
/
ATOMIC_SPECIES
Be 9.01 Be.upf
Zn 65.41 Zn.upf
Cl 35.45 Cl.upf
ATOMIC_POSITIONS crystal
Be 0.115 0.625 0.990
Be 0.375 0.365 0.490
Be 0.635 0.125 0.010
Be 0.875 0.885 0.510
Zn 0.250 0.750 0.500
Zn 0.500 0.500 0.000
Cl 0.000 0.000 0.000
Cl 0.750 0.250 0.500
CELL_PARAMETERS angstrom
-2.756 2.756 4.405
2.756 -2.756 4.405
2.756 2.756 -4.405

# 2
! TaRe2Ir PBE optimized geometry; values from VASP
! Formation enthalpy at 0 K (meV per atom): -139
! Polymorph energy (0 for the lowest one) (meV/atom): 73
! Calculated total energy (eV per atom): -11.5418
! Calculated volume (Å³/cell): 62.5
! M_tot (μB per cell): 0.000
&SYSTEM
  ibrav = 0, nat = 4, ntyp = 3
/
ATOMIC_SPECIES
Ta 180.95 Ta.upf
Re 186.21 Re.upf
Ir 192.22 Ir.upf
ATOMIC_POSITIONS crystal
Ta 0.000 0.000 0.000
Re 0.000 0.000 0.498
Re 0.500 0.500 0.731
Ir 0.500 0.500 0.259
CELL_PARAMETERS angstrom
2.806 0.000 0.000
0.000 2.806 0.000
0.000 0.000 7.943

# 3
! Pm6Nd4Er PBE optimized geometry; values from VASP
! Formation enthalpy at 0 K (meV per atom): 142
! Polymorph energy (0 for the lowest one) (meV/atom): 0
! Calculated total energy (eV per atom): -4.5973
! Calculated volume (Å³/cell): 385.6
! M_tot (μB per cell): 0.000
&SYSTEM
  ibrav = 0, nat = 11, ntyp = 3
/
ATOMIC_SPECIES
Pm 145.00 Pm.upf
Nd 144.24 Nd.upf
Er 167.26 Er.upf
ATOMIC_POSITIONS crystal
Pm 0.183 0.366 0.000
Pm 0.183 0.817 0.000
Pm 0.529 0.059 0.500
Pm 0.529 0.471 0.500
Pm 0.634 0.817 0.000
Pm 0.941 0.471 0.500
Nd 0.315 0.157 0.000
Nd 0.333 0.667 0.500
Nd 0.843 0.157 0.000
Nd 0.843 0.685 0.000
Er 0.000 0.000 0.500
CELL_PARAMETERS angstrom
11.088 0.000 0.000
-5.544 9.603 0.000
0.000 0.000 3.622

# 4
! Cs2NbRhI6 PBE optimized geometry; values from VASP
! Formation energy from raw total energies (eV/atom): -0.61
! Calculated total energy (eV per atom): -3.4560
! Calculated volume (Å³/cell): 388.6
! M_tot (μB per cell): 4.000
&SYSTEM
  ibrav = 0, nat = 10, ntyp = 4
/
ATOMIC_SPECIES
Cs 132.91 Cs.upf
Nb 92.91 Nb.upf
Rh 102.91 Rh.upf
I 126.90 I.upf
ATOMIC_POSITIONS crystal
Cs 0.250 0.750 0.500
Cs 0.750 0.250 0.500
Nb 0.000 0.000 0.000
Rh 0.500 0.500 0.000
I 0.250 0.250 0.000
I 0.250 0.250 0.500
I 0.250 0.750 0.000
I 0.750 0.250 0.000
I 0.750 0.750 0.000
I 0.750 0.750 0.500
CELL_PARAMETERS angstrom
-4.097 4.097 5.789
4.097 -4.097 5.789
4.097 4.097 -5.789